1.
First-principles (PBE) data for a relaxed Tl3SnBr4 crystal, as listed in Alexandria via LeMat-Bulk.

POSCAR file:
```
Tl3SnBr4
1.0
10.787 0.000 0.000
0.000 9.424 0.000
0.000 0.000 6.505
Tl Sn Br
6 2 8
direct
0.000 0.059 0.000 Tl
0.180 0.354 0.499 Tl
0.320 0.646 0.999 Tl
0.500 0.941 0.500 Tl
0.680 0.646 0.999 Tl
0.820 0.354 0.499 Tl
0.000 0.690 0.502 Sn
0.500 0.310 0.002 Sn
0.000 0.081 0.497 Br
0.000 0.703 0.077 Br
0.222 0.299 0.000 Br
0.278 0.701 0.500 Br
0.500 0.297 0.577 Br
0.500 0.919 0.997 Br
0.722 0.701 0.500 Br
0.778 0.299 0.000 Br
```

Computed properties:
V: 41.3 Å³ per atom
formation energy from raw total energies: -0.634 eV per atom
crystal system: orthorhombic
total magnetization: 2.05 μB/cell

2.
First-principles (PBE) data for a relaxed TlSn4Br8 crystal, as listed in Alexandria via LeMat-Bulk.

POSCAR file:
```
TlSn4Br8
1.0
4.538 2.620 7.402
-4.538 2.620 7.402
0.000 -5.240 7.402
Tl Sn Br
1 4 8
direct
0.000 0.000 0.000 Tl
0.000 0.000 0.500 Sn
0.000 0.500 0.000 Sn
0.500 0.000 0.000 Sn
0.500 0.500 0.500 Sn
0.236 0.236 0.236 Br
0.242 0.737 0.737 Br
0.263 0.263 0.758 Br
0.263 0.758 0.263 Br
0.737 0.242 0.737 Br
0.737 0.737 0.242 Br
0.758 0.263 0.263 Br
0.764 0.764 0.764 Br
```

Computed properties:
V: 40.6 Å³ per atom
formation energy from raw total energies: -0.658 eV per atom
crystal system: trigonal
total magnetization: 0.00 μB/cell

3.
First-principles (PBE) data for a relaxed Tl3Sn2Br7 crystal, as listed in Alexandria via LeMat-Bulk.

POSCAR file:
```
Tl3Sn2Br7
1.0
2.936 -14.214 0.000
2.936 14.214 0.000
-0.048 0.000 5.779
Tl Sn Br
3 2 7
direct
0.000 0.000 0.000 Tl
0.176 0.824 0.000 Tl
0.824 0.176 0.000 Tl
0.391 0.609 0.500 Sn
0.609 0.391 0.500 Sn
0.104 0.896 0.500 Br
0.294 0.706 0.500 Br
0.394 0.606 0.000 Br
0.500 0.500 0.500 Br
0.606 0.394 0.000 Br
0.706 0.294 0.500 Br
0.896 0.104 0.500 Br
```

Computed properties:
V: 40.2 Å³ per atom
formation energy from raw total energies: -0.732 eV per atom
crystal system: monoclinic
total magnetization: 0.00 μB/cell

4.
First-principles (PBE) data for a relaxed Tl3SnBr7 crystal, as listed in Alexandria via LeMat-Bulk.

POSCAR file:
```
Tl3SnBr7
1.0
5.855 -5.058 0.000
5.855 5.058 0.000
-4.269 0.000 7.417
Tl Sn Br
3 1 7
direct
0.000 0.000 0.000 Tl
0.290 0.722 0.545 Tl
0.722 0.290 0.545 Tl
0.494 0.494 0.030 Sn
0.166 0.537 0.790 Br
0.332 0.332 0.165 Br
0.445 0.825 0.259 Br
0.537 0.166 0.790 Br
0.662 0.662 0.902 Br
0.825 0.445 0.259 Br
0.981 0.981 0.633 Br
```

Computed properties:
V: 39.9 Å³ per atom
formation energy from raw total energies: -0.744 eV per atom
crystal system: monoclinic
total magnetization: 0.00 μB/cell